{"formula": "PtC", "functional": "SCAN", "state": "single point on PBEsol structure", "polymorph_energy_mev_per_atom": 419, "dft_energy_ev_per_cell": -155.51, "e_form_mev_per_atom": 1269.2, "crystal_system": "hexagonal", "lattice": [[3.124, 0.000, 0.000], [-1.562, 2.705, 0.000], [0.000, 0.000, 5.160]], "species": ["C", "C", "Pt", "Pt"], "frac_coords": [[0.667, 0.333, 0.750], [0.333, 0.667, 0.250], [0.000, 0.000, 0.000], [0.000, 0.000, 0.500]]}

{"formula": "Pt5C3", "functional": "SCAN", "state": "single point on PBEsol structure", "dft_energy_ev_per_cell": -371.19, "e_form_mev_per_atom": 1259.4, "crystal_system": "orthorhombic", "lattice": [[2.790, 0.000, 0.000], [0.000, 6.121, 0.020], [0.000, -1.589, 5.911]], "species": ["C", "C", "C", "Pt", "Pt", "Pt", "Pt", "Pt"], "frac_coords": [[0.000, 0.500, 0.500], [0.500, 0.818, 0.182], [0.500, 0.182, 0.818], [0.000, 0.000, 0.000], [0.000, 0.000, 0.500], [0.000, 0.500, 0.000], [0.500, 0.316, 0.316], [0.500, 0.684, 0.684]]}

{"formula": "PtC3", "functional": "SCAN", "state": "single point on PBEsol structure", "polymorph_energy_mev_per_atom": 0, "dft_energy_ev_per_cell": -92.00, "e_form_mev_per_atom": 2122.0, "crystal_system": "orthorhombic", "lattice": [[2.453, 0.000, 0.000], [-1.227, 3.270, 0.000], [0.000, 0.000, 5.569]], "species": ["C", "C", "C", "Pt"], "frac_coords": [[0.000, 0.000, 0.816], [0.500, 0.000, 0.000], [0.000, 0.000, 0.184], [0.500, 0.000, 0.500]]}

{"formula": "PtC", "functional": "SCAN", "state": "single point on PBEsol structure", "polymorph_energy_mev_per_atom": 393, "dft_energy_ev_per_cell": -311.23, "e_form_mev_per_atom": 1243.2, "crystal_system": "cubic", "lattice": [[-4.209, 0.302, 1.328], [1.045, -2.054, 3.776], [0.875, 3.906, 1.883]], "species": ["C", "C", "C", "C", "Pt", "Pt", "Pt", "Pt"], "frac_coords": [[0.061, 0.561, 0.939], [0.439, 0.439, 0.439], [0.939, 0.061, 0.561], [0.561, 0.939, 0.061], [0.479, 0.979, 0.521], [0.021, 0.021, 0.021], [0.521, 0.479, 0.979], [0.979, 0.521, 0.479]]}

{"formula": "PtC", "functional": "SCAN", "state": "single point on PBEsol structure", "polymorph_energy_mev_per_atom": 156, "dft_energy_ev_per_cell": -156.56, "e_form_mev_per_atom": 1006.3, "crystal_system": "trigonal", "lattice": [[3.240, 0.000, 0.000], [1.620, 2.806, 0.000], [1.620, 0.935, 6.716]], "species": ["C", "C", "Pt", "Pt"], "frac_coords": [[0.082, 0.082, 0.754], [0.918, 0.918, 0.246], [0.614, 0.614, 0.159], [0.386, 0.386, 0.841]]}

{"formula": "Pt5C", "functional": "SCAN", "state": "single point on PBEsol structure", "dft_energy_ev_per_cell": -357.41, "e_form_mev_per_atom": 609.4, "crystal_system": "orthorhombic", "lattice": [[2.754, 0.000, 0.000], [0.000, 4.581, 0.000], [-1.377, 0.000, 7.028]], "species": ["C", "Pt", "Pt", "Pt", "Pt", "Pt"], "frac_coords": [[0.500, 0.000, 0.000], [0.891, 0.000, 0.781], [0.109, 0.000, 0.219], [0.000, 0.500, 0.000], [0.329, 0.500, 0.658], [0.671, 0.500, 0.342]]}